Run A
First-principles (PBE) data for ScBP2C after structural relaxation, as listed in Alexandria via LeMat-Bulk.

## Properties
- SG = P1, No. 1

Lattice parameters (Å, degrees): 3.241 3.813 6.229 75.03 83.67 90.12
Atoms (fractional coordinates):
Sc 0.818 0.961 0.236
P 0.280 0.386 0.420
P 0.814 0.560 0.910
C 0.369 0.232 0.951
B 0.218 0.343 0.725

***

Run B
First-principles (PBE) data for ScBP2C after structural relaxation, as listed in Alexandria via LeMat-Bulk.

## Properties
- SG = P1, No. 1

Lattice parameters (Å, degrees): 4.269 4.265 4.554 64.53 64.89 75.55
Atoms (fractional coordinates):
Sc 0.470 0.400 0.254
P 0.212 0.075 0.984
P 0.779 0.664 0.511
C 0.662 0.952 0.743
B 0.894 0.184 0.750

***

Result of the stability comparison: run B is the most stable of them.

***

Run A
First-principles (PBE) data for Mn2IrOs after structural relaxation, as listed in Alexandria via LeMat-Bulk.

## Properties
- SG = I-42d, No. 122

Lattice parameters (Å, degrees): 5.298 5.298 6.434 65.69 65.69 90.00
Atoms (fractional coordinates):
Ir 0.000 0.000 0.000
Ir 0.750 0.250 0.500
Os 0.500 0.500 0.000
Os 0.250 0.750 0.500
Mn 0.625 0.125 0.250
Mn 0.125 0.625 0.250
Mn 0.375 0.375 0.750
Mn 0.875 0.875 0.750

***

Run B
First-principles (PBE) data for Mn2IrOs after structural relaxation, as listed in Alexandria via LeMat-Bulk.

## Properties
- SG = Fm-3m, No. 225

Lattice parameters (Å, degrees): 4.175 4.175 4.175 60.00 60.00 60.00
Atoms (fractional coordinates):
Ir 0.500 0.500 0.500
Os 0.000 0.000 0.000
Mn 0.250 0.250 0.250
Mn 0.750 0.750 0.750

***

Result of the stability comparison: run B is the most stable of them.

***

Run A
First-principles (PBE) data for CeThCo after structural relaxation, as listed in Alexandria via LeMat-Bulk.

## Properties
- SG = P2_1/c, No. 14

Lattice parameters (Å, degrees): 7.041 6.514 7.037 62.96 90.00 90.00
Atoms (fractional coordinates):
Ce 0.651 0.771 0.040
Ce 0.349 0.229 0.960
Ce 0.151 0.229 0.460
Ce 0.849 0.771 0.540
Th 0.164 0.749 0.931
Th 0.336 0.749 0.431
Th 0.836 0.251 0.069
Th 0.664 0.251 0.569
Co 0.550 0.595 0.789
Co 0.450 0.405 0.211
Co 0.950 0.595 0.289
Co 0.050 0.405 0.711

***

Run B
First-principles (PBE) data for CeThCo after structural relaxation, as listed in Alexandria via LeMat-Bulk.

## Properties
- SG = P3m1, No. 156

Lattice parameters (Å, degrees): 3.757 3.757 6.122 90.00 90.00 120.00
Atoms (fractional coordinates):
Co 0.667 0.333 0.338
Ce 0.333 0.667 0.594
Th 0.000 0.000 0.068

***

Result of the stability comparison: run B is the most stable of them.